No. 1
Below is a relaxed Hf3Cu2Au crystal, with properties calculated at the PBE level.

Summary:
For the total energy, the calculation gives -7.008 eV/atom.

Structure (CIF):
```
data_Hf3Cu2Au
_space_group_name_H-M_alt 'P 4 m m'
_space_group_IT_number 99
_space_group_name_Hall 'P 4 -2'
_cell_length_a 3.322
_cell_length_b 3.322
_cell_length_c 9.705
_cell_angle_alpha 90.00
_cell_angle_beta 90.00
_cell_angle_gamma 90.00
loop_
_atom_site_label
_atom_site_fract_x
_atom_site_fract_y
_atom_site_fract_z
Hf1 0.000 0.000 0.000
Hf2 0.000 0.000 0.331
Hf3 0.500 0.500 0.533
Cu1 0.000 0.000 0.688
Cu2 0.500 0.500 0.164
Au1 0.500 0.500 0.835
```


No. 2
Below is a relaxed RbFeGeS3 crystal, with properties calculated at the PBE level.

Summary:
The value obtained for the polymorph energy (0 for the lowest one) is 0.156 eV/f.u.

Structure (CIF):
```
data_RbFeGeS3
_space_group_name_H-M_alt 'C m c m'
_space_group_IT_number 63
_space_group_name_Hall '-C 2c 2'
_cell_length_a 3.933
_cell_length_b 14.755
_cell_length_c 10.461
_cell_angle_alpha 90.00
_cell_angle_beta 90.00
_cell_angle_gamma 90.00
loop_
_atom_site_label
_atom_site_fract_x
_atom_site_fract_y
_atom_site_fract_z
Rb1 0.000 0.237 0.250
Fe1 0.000 0.042 0.750
Ge1 0.000 0.500 0.000
S1 0.000 0.115 0.565
S2 0.000 0.454 0.750
```